(1)
! AlPb2Se | Alexandria | PBE | optimized geometry; values from VASP
&SYSTEM
  ibrav = 0, nat = 4, ntyp = 3
/
ATOMIC_SPECIES
Pb 207.20 Pb.upf
Se 78.96 Se.upf
Al 26.98 Al.upf
CELL_PARAMETERS angstrom
-1.886 -5.002 -1.472
-1.052 -0.715 3.779
-4.839 1.820 0.013
ATOMIC_POSITIONS angstrom
Pb -2.141 -2.362 0.328
Se -3.671 0.716 2.271
Pb -1.288 -0.605 3.705
Al -4.676 -1.808 1.691
! E_form (uncorrected) in meV per atom: 0
! Symmetry: Pm (6)
! Total energy in eV for the cell shown: -14.65

***

(2)
! AlPb2Se | Alexandria | PBE | optimized geometry; values from VASP
&SYSTEM
  ibrav = 0, nat = 4, ntyp = 3
/
ATOMIC_SPECIES
Pb 207.20 Pb.upf
Al 26.98 Al.upf
Se 78.96 Se.upf
CELL_PARAMETERS angstrom
5.292 0.000 0.000
2.646 4.583 0.000
2.646 1.528 4.321
ATOMIC_POSITIONS angstrom
Pb 0.000 0.000 0.000
Al 5.292 3.055 2.160
Pb 2.646 1.528 1.080
Se 7.938 4.583 3.241
! E_form (uncorrected) in meV per atom: 168
! Symmetry: F-43m (216)
! Total energy in eV for the cell shown: -13.97

***

(3)
! Al2PbSe4 | Alexandria | PBE | optimized geometry; values from VASP
&SYSTEM
  ibrav = 0, nat = 7, ntyp = 3
/
ATOMIC_SPECIES
Se 78.96 Se.upf
Al 26.98 Al.upf
Pb 207.20 Pb.upf
CELL_PARAMETERS angstrom
6.433 -0.197 0.000
-3.271 5.543 0.000
-1.581 -2.673 5.637
ATOMIC_POSITIONS angstrom
Se 0.829 -0.491 2.686
Al 3.217 -0.099 2.819
Pb 1.581 2.673 0.000
Al -1.635 2.772 2.819
Se -2.540 1.503 4.674
Se 0.752 3.164 2.952
Se 4.122 1.170 0.964
! E_form (uncorrected) in meV per atom: -733
! Symmetry: I4/m (87)
! Total energy in eV for the cell shown: -30.26

***

(4)
! TaAlPbSe2 | Alexandria | PBE | optimized geometry; values from VASP
&SYSTEM
  ibrav = 0, nat = 5, ntyp = 4
/
ATOMIC_SPECIES
Se 78.96 Se.upf
Al 26.98 Al.upf
Pb 207.20 Pb.upf
Ta 180.95 Ta.upf
CELL_PARAMETERS angstrom
-2.676 3.585 -1.686
-0.082 -2.318 -4.796
-3.961 -2.383 1.220
ATOMIC_POSITIONS angstrom
Se -1.338 1.792 -0.843
Al 0.000 0.000 0.000
Pb -0.041 -1.159 -2.398
Ta -3.360 -0.558 -2.631
Se -1.980 -1.191 0.610
! E_form (uncorrected) in meV per atom: 948
! Symmetry: P4/mmm (123)
! Total energy in eV for the cell shown: -21.53

***

(5)
! TbAlPb2Se5 | Alexandria | PBE | optimized geometry; values from VASP
&SYSTEM
  ibrav = 0, nat = 18, ntyp = 4
/
ATOMIC_SPECIES
Pb 207.20 Pb.upf
Al 26.98 Al.upf
Se 78.96 Se.upf
Tb 158.93 Tb.upf
CELL_PARAMETERS angstrom
4.074 0.000 0.000
-2.037 9.304 0.000
0.000 0.000 13.335
ATOMIC_POSITIONS angstrom
Pb 0.000 2.589 8.969
Al 2.037 1.046 12.302
Se 2.037 3.731 2.413
Se 0.000 5.573 9.081
Se 0.000 6.493 0.219
Se 0.000 9.142 10.264
Al 0.000 8.258 5.634
Se 0.000 0.673 0.333
Se 2.037 2.811 6.887
Se 2.037 0.161 3.596
Se 2.037 8.630 7.001
Pb 2.037 7.149 11.062
Se 0.000 5.908 5.030
Pb 0.000 2.155 4.394
Tb 0.000 3.664 0.402
Tb 2.037 5.640 7.069
Se 2.037 3.396 11.698
Pb 2.037 6.715 2.301
! E_form (uncorrected) in meV per atom: -1008
! Symmetry: Cmc2_1 (36)
! Total energy in eV for the cell shown: -84.57

***

(6)
! Al2TcPbSe | Alexandria | PBE | optimized geometry; values from VASP
&SYSTEM
  ibrav = 0, nat = 5, ntyp = 4
/
ATOMIC_SPECIES
Tc 98.00 Tc.upf
Pb 207.20 Pb.upf
Se 78.96 Se.upf
Al 26.98 Al.upf
CELL_PARAMETERS angstrom
5.284 0.000 0.000
0.000 5.600 0.000
0.000 0.000 5.284
ATOMIC_POSITIONS angstrom
Tc 2.642 2.800 2.642
Pb 0.000 0.000 0.000
Se 0.000 2.800 0.000
Al 0.000 0.000 2.642
Al 2.642 0.000 0.000
! E_form (uncorrected) in meV per atom: 1540
! Symmetry: P4/mmm (123)
! Total energy in eV for the cell shown: -17.35

***

(7)
! AlTl2PbSe4 | Alexandria | PBE | optimized geometry; values from VASP
&SYSTEM
  ibrav = 0, nat = 8, ntyp = 4
/
ATOMIC_SPECIES
Se 78.96 Se.upf
Tl 204.38 Tl.upf
Pb 207.20 Pb.upf
Al 26.98 Al.upf
CELL_PARAMETERS angstrom
7.027 0.000 0.000
3.513 5.749 0.000
3.513 0.000 5.749
ATOMIC_POSITIONS angstrom
Se 8.472 0.000 3.777
Se 5.581 3.777 0.000
Tl 3.513 2.874 2.874
Se 2.068 1.971 0.000
Se 4.959 0.000 1.971
Pb 0.000 0.000 0.000
Tl 7.027 2.874 2.874
Al 3.513 0.000 0.000
! E_form (uncorrected) in meV per atom: -505
! Symmetry: I-42m (121)
! Total energy in eV for the cell shown: -30.16

***

(8)
! TmAlPb2Se5 | Alexandria | PBE | optimized geometry; values from VASP
&SYSTEM
  ibrav = 0, nat = 18, ntyp = 4
/
ATOMIC_SPECIES
Se 78.96 Se.upf
Pb 207.20 Pb.upf
Al 26.98 Al.upf
Tm 168.93 Tm.upf
CELL_PARAMETERS angstrom
4.045 0.000 0.000
-2.022 9.249 0.000
0.000 0.000 13.316
ATOMIC_POSITIONS angstrom
Se 2.022 3.415 11.708
Se 2.022 2.802 6.857
Pb 0.000 2.553 8.944
Se 0.000 0.723 0.379
Se 2.022 3.722 2.357
Se 0.000 5.527 9.015
Se 0.000 9.105 10.275
Al 0.000 8.183 5.653
Pb 2.022 7.074 11.017
Tm 2.022 5.589 7.046
Se 2.022 8.526 7.037
Pb 0.000 2.174 4.359
Al 2.022 1.066 12.311
Se 0.000 5.834 5.050
Pb 2.022 6.696 2.286
Tm 0.000 3.659 0.388
Se 2.022 0.144 3.617
Se 0.000 6.447 0.199
! E_form (uncorrected) in meV per atom: -1007
! Symmetry: Cmc2_1 (36)
! Total energy in eV for the cell shown: -84.24

***

(9)
! Al2VPbSe | Alexandria | PBE | optimized geometry; values from VASP
&SYSTEM
  ibrav = 0, nat = 5, ntyp = 4
/
ATOMIC_SPECIES
V 50.94 V.upf
Pb 207.20 Pb.upf
Al 26.98 Al.upf
Se 78.96 Se.upf
CELL_PARAMETERS angstrom
4.998 0.000 0.000
0.000 4.634 0.000
0.000 0.000 4.998
ATOMIC_POSITIONS angstrom
V 0.000 0.000 0.000
Pb 2.499 2.317 2.499
Al 2.499 0.000 0.000
Al 0.000 0.000 2.499
Se 0.000 2.317 0.000
! E_form (uncorrected) in meV per atom: 282
! Symmetry: P4/mmm (123)
! Total energy in eV for the cell shown: -22.39

***

(10)
! AlPbWSe2 | Alexandria | PBE | optimized geometry; values from VASP
&SYSTEM
  ibrav = 0, nat = 5, ntyp = 4
/
ATOMIC_SPECIES
Al 26.98 Al.upf
Pb 207.20 Pb.upf
W 183.84 W.upf
Se 78.96 Se.upf
CELL_PARAMETERS angstrom
-2.911 3.952 0.795
-3.870 -3.062 1.052
1.307 -0.003 4.797
ATOMIC_POSITIONS angstrom
Al 0.000 0.000 0.000
Pb -2.737 0.443 3.323
W -1.935 -1.531 0.526
Se 0.653 -0.002 2.399
Se -1.455 1.976 0.398
! E_form (uncorrected) in meV per atom: 910
! Symmetry: P4/mmm (123)
! Total energy in eV for the cell shown: -22.82

***

(11)
! Al2SiPb | Alexandria | PBE | optimized geometry; values from VASP
&SYSTEM
  ibrav = 0, nat = 4, ntyp = 3
/
ATOMIC_SPECIES
Si 28.09 Si.upf
Al 26.98 Al.upf
Pb 207.20 Pb.upf
CELL_PARAMETERS angstrom
-2.455 -0.628 -3.827
0.739 -2.646 -3.677
-3.177 -4.981 0.603
ATOMIC_POSITIONS angstrom
Si -0.836 -1.459 -1.831
Al -3.870 -6.500 -5.071
Al -1.804 -3.397 -7.295
Pb -2.546 -4.301 -3.658
! E_form (uncorrected) in meV per atom: 255
! Symmetry: Cm (8)
! Total energy in eV for the cell shown: -15.60

***

(12)
! AlSi2Pb | Alexandria | PBE | optimized geometry; values from VASP
&SYSTEM
  ibrav = 0, nat = 4, ntyp = 3
/
ATOMIC_SPECIES
Si 28.09 Si.upf
Pb 207.20 Pb.upf
Al 26.98 Al.upf
CELL_PARAMETERS angstrom
-0.549 -3.878 -0.006
1.703 -0.247 4.215
-4.174 0.588 1.721
ATOMIC_POSITIONS angstrom
Si 0.000 0.000 0.000
Si -1.235 0.170 2.968
Pb -2.361 -1.645 0.858
Al 0.577 -2.063 2.105
! E_form (uncorrected) in meV per atom: 570
! Symmetry: P4/mmm (123)
! Total energy in eV for the cell shown: -16.02

***

(13)
! Al2SiPb | Alexandria | PBE | optimized geometry; values from VASP
&SYSTEM
  ibrav = 0, nat = 4, ntyp = 3
/
ATOMIC_SPECIES
Al 26.98 Al.upf
Si 28.09 Si.upf
Pb 207.20 Pb.upf
CELL_PARAMETERS angstrom
9.792 0.030 0.017
9.260 3.183 0.017
9.260 1.562 2.774
ATOMIC_POSITIONS angstrom
Al 0.117 0.020 0.012
Si 20.783 3.505 2.062
Al 7.443 1.255 0.738
Pb 14.124 2.382 1.401
! E_form (uncorrected) in meV per atom: 324
! Symmetry: R3m (160)
! Total energy in eV for the cell shown: -15.32

***

(14)
! Al2SiPb2 | Alexandria | PBE | optimized geometry; values from VASP
&SYSTEM
  ibrav = 0, nat = 10, ntyp = 3
/
ATOMIC_SPECIES
Si 28.09 Si.upf
Al 26.98 Al.upf
Pb 207.20 Pb.upf
CELL_PARAMETERS angstrom
-1.322 4.928 -6.826
-7.186 2.939 3.514
1.753 2.518 1.479
ATOMIC_POSITIONS angstrom
Si -4.254 3.934 -1.656
Al -0.443 3.500 -1.513
Al -6.312 6.886 -0.321
Pb -6.259 3.935 0.720
Al -3.672 3.612 2.125
Si 0.000 0.000 0.000
Pb -6.010 6.026 -3.138
Pb -2.250 3.933 -4.031
Al -3.084 6.774 -3.958
Pb -2.498 1.841 -0.173
! E_form (uncorrected) in meV per atom: 541
! Symmetry: P4/mbm (127)
! Total energy in eV for the cell shown: -35.24

***

(15)
! AlSi2Pb | Alexandria | PBE | optimized geometry; values from VASP
&SYSTEM
  ibrav = 0, nat = 4, ntyp = 3
/
ATOMIC_SPECIES
Al 26.98 Al.upf
Si 28.09 Si.upf
Pb 207.20 Pb.upf
CELL_PARAMETERS angstrom
4.872 0.000 0.000
2.436 4.220 0.000
2.436 1.407 3.978
ATOMIC_POSITIONS angstrom
Al 4.872 2.813 1.989
Si 7.309 4.220 2.984
Pb 2.436 1.407 0.995
Si 0.000 0.000 0.000
! E_form (uncorrected) in meV per atom: 627
! Symmetry: F-43m (216)
! Total energy in eV for the cell shown: -15.79

***

(16)
! AlSi2Pb | Alexandria | PBE | optimized geometry; values from VASP
&SYSTEM
  ibrav = 0, nat = 4, ntyp = 3
/
ATOMIC_SPECIES
Al 26.98 Al.upf
Pb 207.20 Pb.upf
Si 28.09 Si.upf
CELL_PARAMETERS angstrom
-1.566 0.586 4.834
-3.164 -4.018 -0.059
5.056 0.457 -0.627
ATOMIC_POSITIONS angstrom
Al 0.562 -0.337 3.297
Pb -0.237 -2.639 0.850
Si -4.514 -3.276 4.556
Si -2.581 -1.873 2.605
! E_form (uncorrected) in meV per atom: 515
! Symmetry: Immm (71)
! Total energy in eV for the cell shown: -16.24

***

(17)
! AlSi4Pb | Alexandria | PBE | optimized geometry; values from VASP
&SYSTEM
  ibrav = 0, nat = 6, ntyp = 3
/
ATOMIC_SPECIES
Si 28.09 Si.upf
Pb 207.20 Pb.upf
Al 26.98 Al.upf
CELL_PARAMETERS angstrom
0.912 -3.304 4.133
-3.641 -3.721 1.317
1.026 -5.195 -0.892
ATOMIC_POSITIONS angstrom
Si -2.432 -6.437 2.367
Pb 0.000 0.000 0.000
Al -1.276 -9.165 3.419
Si -0.193 -6.232 3.752
Si -0.137 -7.162 1.280
Si -0.642 -4.607 1.719
! E_form (uncorrected) in meV per atom: 506
! Symmetry: F-43m (216)
! Total energy in eV for the cell shown: -26.10

***

(18)
! AlSiPb4 | Alexandria | PBE | optimized geometry; values from VASP
&SYSTEM
  ibrav = 0, nat = 6, ntyp = 3
/
ATOMIC_SPECIES
Pb 207.20 Pb.upf
Si 28.09 Si.upf
Al 26.98 Al.upf
CELL_PARAMETERS angstrom
0.000 4.525 4.525
4.525 0.000 4.525
4.525 4.525 0.000
ATOMIC_POSITIONS angstrom
Pb 5.658 3.393 5.658
Si 6.788 6.788 6.788
Pb 3.393 5.658 5.658
Pb 3.393 3.393 3.393
Pb 5.658 5.658 3.393
Al 0.000 0.000 0.000
! E_form (uncorrected) in meV per atom: 644
! Symmetry: F-43m (216)
! Total energy in eV for the cell shown: -20.14

***

(19)
! AlSi2Pb | Alexandria | PBE | optimized geometry; values from VASP
&SYSTEM
  ibrav = 0, nat = 4, ntyp = 3
/
ATOMIC_SPECIES
Al 26.98 Al.upf
Si 28.09 Si.upf
Pb 207.20 Pb.upf
CELL_PARAMETERS angstrom
4.475 -0.078 0.039
2.994 3.327 0.039
1.456 0.633 5.665
ATOMIC_POSITIONS angstrom
Al 2.231 0.971 1.436
Si 7.513 3.269 0.626
Si 4.418 1.922 2.323
Pb 6.694 2.912 4.307
! E_form (uncorrected) in meV per atom: 318
! Symmetry: C2/m (12)
! Total energy in eV for the cell shown: -17.03

***

(20)
! AlSi2Pb | Alexandria | PBE | optimized geometry; values from VASP
&SYSTEM
  ibrav = 0, nat = 4, ntyp = 3
/
ATOMIC_SPECIES
Pb 207.20 Pb.upf
Si 28.09 Si.upf
Al 26.98 Al.upf
CELL_PARAMETERS angstrom
5.655 -0.647 0.237
-2.534 5.091 0.377
1.395 1.929 3.297
ATOMIC_POSITIONS angstrom
Pb 1.560 2.222 0.307
Si 3.525 0.641 1.767
Al -0.569 3.510 1.837
Si 0.000 0.000 0.000
! E_form (uncorrected) in meV per atom: 486
! Symmetry: C2/m (12)
! Total energy in eV for the cell shown: -16.35

***

(21)
! AlSi2Pb | Alexandria | PBE | optimized geometry; values from VASP
&SYSTEM
  ibrav = 0, nat = 4, ntyp = 3
/
ATOMIC_SPECIES
Al 26.98 Al.upf
Si 28.09 Si.upf
Pb 207.20 Pb.upf
CELL_PARAMETERS angstrom
9.208 -0.074 -0.044
8.653 3.151 -0.044
8.653 1.491 2.777
ATOMIC_POSITIONS angstrom
Al 6.628 1.142 0.672
Si 26.096 4.496 2.647
Pb 19.885 3.426 2.017
Si 13.674 2.356 1.387
! E_form (uncorrected) in meV per atom: 433
! Symmetry: R-3m (166)
! Total energy in eV for the cell shown: -16.57

***

(22)
! AlSi2Pb | Alexandria | PBE | optimized geometry; values from VASP
&SYSTEM
  ibrav = 0, nat = 8, ntyp = 3
/
ATOMIC_SPECIES
Si 28.09 Si.upf
Al 26.98 Al.upf
Pb 207.20 Pb.upf
CELL_PARAMETERS angstrom
-5.091 1.706 2.257
1.266 -2.782 4.958
0.817 4.667 5.832
ATOMIC_POSITIONS angstrom
Si -0.777 2.998 7.256
Al -1.913 -0.538 3.607
Si 0.178 -0.298 4.919
Si -2.780 2.657 10.510
Al 0.085 0.673 7.198
Si -2.639 1.824 3.408
Pb 0.000 0.000 0.000
Pb -3.094 2.917 5.848
! E_form (uncorrected) in meV per atom: 403
! Symmetry: I-42d (122)
! Total energy in eV for the cell shown: -33.37

***

(23)
! AlSi2Pb | Alexandria | PBE | optimized geometry; values from VASP
&SYSTEM
  ibrav = 0, nat = 4, ntyp = 3
/
ATOMIC_SPECIES
Si 28.09 Si.upf
Al 26.98 Al.upf
Pb 207.20 Pb.upf
CELL_PARAMETERS angstrom
5.317 0.000 0.000
1.784 5.009 0.000
-3.551 -2.505 3.064
ATOMIC_POSITIONS angstrom
Si 0.000 0.000 0.000
Al 3.551 2.505 0.000
Pb 2.658 0.000 1.532
Si 0.892 2.504 1.532
! E_form (uncorrected) in meV per atom: 583
! Symmetry: I-4m2 (119)
! Total energy in eV for the cell shown: -15.97

***

(24)
! Al2SiPb | Alexandria | PBE | optimized geometry; values from VASP
&SYSTEM
  ibrav = 0, nat = 4, ntyp = 3
/
ATOMIC_SPECIES
Pb 207.20 Pb.upf
Al 26.98 Al.upf
Si 28.09 Si.upf
CELL_PARAMETERS angstrom
3.330 0.012 0.000
-0.015 3.679 0.000
0.000 0.000 6.896
ATOMIC_POSITIONS angstrom
Pb 0.000 0.000 3.335
Al 1.658 1.846 1.401
Si 1.658 1.846 5.768
Al 0.000 0.000 6.736
! E_form (uncorrected) in meV per atom: 256
! Symmetry: Pmm2 (25)
! Total energy in eV for the cell shown: -15.59

***

(25)
! Al2SiPb | Alexandria | PBE | optimized geometry; values from VASP
&SYSTEM
  ibrav = 0, nat = 4, ntyp = 3
/
ATOMIC_SPECIES
Si 28.09 Si.upf
Al 26.98 Al.upf
Pb 207.20 Pb.upf
CELL_PARAMETERS angstrom
-2.880 2.433 -3.080
-3.361 -1.491 3.191
0.479 2.950 1.883
ATOMIC_POSITIONS angstrom
Si -1.441 0.730 2.537
Al -3.120 0.471 0.055
Pb -1.200 2.692 -0.599
Al 0.000 0.000 0.000
! E_form (uncorrected) in meV per atom: 433
! Symmetry: Cmmm (65)
! Total energy in eV for the cell shown: -14.88

***

(26)
! AlSi2Pb | Alexandria | PBE | optimized geometry; values from VASP
&SYSTEM
  ibrav = 0, nat = 4, ntyp = 3
/
ATOMIC_SPECIES
Pb 207.20 Pb.upf
Si 28.09 Si.upf
Al 26.98 Al.upf
CELL_PARAMETERS angstrom
0.000 3.435 3.435
3.435 0.000 3.435
3.435 3.435 0.000
ATOMIC_POSITIONS angstrom
Pb 3.435 3.435 3.435
Si 5.152 5.152 5.152
Al 0.000 0.000 0.000
Si 1.717 1.717 1.717
! E_form (uncorrected) in meV per atom: 574
! Symmetry: Fm-3m (225)
! Total energy in eV for the cell shown: -16.00

***

(27)
! Al2SiPb | Alexandria | PBE | optimized geometry; values from VASP
&SYSTEM
  ibrav = 0, nat = 4, ntyp = 3
/
ATOMIC_SPECIES
Si 28.09 Si.upf
Al 26.98 Al.upf
Pb 207.20 Pb.upf
CELL_PARAMETERS angstrom
-3.340 0.706 3.503
-2.408 4.250 0.264
-4.750 0.196 -1.153
ATOMIC_POSITIONS angstrom
Si 0.000 0.000 0.000
Al -2.624 1.288 0.654
Al -7.873 3.863 1.961
Pb -5.249 2.576 1.307
! E_form (uncorrected) in meV per atom: 430
! Symmetry: Fm-3m (225)
! Total energy in eV for the cell shown: -14.90